[1]
# Ba2PaNbO6 (PBE, optimized geometry)
# Formation energy (no corrections), meV/atom: -2953
# N(E_F), states/eV/f.u.: 3.828
# Space group: P4/mmm (123)
data_Ba2PaNbO6
_chemical_formula_sum 'Ba2 Pa1 Nb1 O6'
_cell_length_a 4.315
_cell_length_b 4.315
_cell_length_c 8.722
_cell_angle_alpha 90.00
_cell_angle_beta 90.00
_cell_angle_gamma 90.00
_symmetry_space_group_name_H-M 'P 1'
_symmetry_Int_Tables_number 1
loop_
_symmetry_equiv_pos_as_xyz
'x,y,z'
loop_
_atom_site_label
_atom_site_fract_x
_atom_site_fract_y
_atom_site_fract_z
Ba1 0.000 0.000 0.719
Ba2 0.000 0.000 0.281
Pa1 0.500 0.500 0.000
Nb1 0.500 0.500 0.500
O1 0.500 0.000 0.000
O2 0.500 0.000 0.500
O3 0.000 0.500 0.000
O4 0.000 0.500 0.500
O5 0.500 0.500 0.748
O6 0.500 0.500 0.252

***

[2]
# BaNpCu2Te4 (PBE, optimized geometry)
# Formation energy (no corrections), meV/atom: -486
# N(E_F), states/eV/f.u.: 11.355
# Space group: I222 (23)
data_BaNpCu2Te4
_chemical_formula_sum 'Ba1 Np1 Cu2 Te4'
_cell_length_a 7.235
_cell_length_b 7.000
_cell_length_c 7.000
_cell_angle_alpha 70.79
_cell_angle_beta 58.89
_cell_angle_gamma 58.89
_symmetry_space_group_name_H-M 'P 1'
_symmetry_Int_Tables_number 1
loop_
_symmetry_equiv_pos_as_xyz
'x,y,z'
loop_
_atom_site_label
_atom_site_fract_x
_atom_site_fract_y
_atom_site_fract_z
Ba1 0.000 0.000 0.000
Np1 0.500 0.500 0.500
Cu1 0.143 0.357 0.357
Cu2 0.857 0.643 0.643
Te1 0.455 0.092 0.502
Te2 0.050 0.908 0.498
Te3 0.950 0.502 0.092
Te4 0.545 0.498 0.908

***

[3]
# Pr2CdIn2Pt5 (PBE, optimized geometry)
# ΔE_f, eV per atom: -0.56
# N(E_F), states/eV/f.u.: 5.724
# Space group: P4/mbm (127)
data_Pr2CdIn2Pt5
_chemical_formula_sum 'Pr4 Cd2 In4 Pt10'
_cell_length_a 3.722
_cell_length_b 10.652
_cell_length_c 10.652
_cell_angle_alpha 90.00
_cell_angle_beta 90.00
_cell_angle_gamma 90.00
_symmetry_space_group_name_H-M 'P 1'
_symmetry_Int_Tables_number 1
loop_
_symmetry_equiv_pos_as_xyz
'x,y,z'
loop_
_atom_site_label
_atom_site_fract_x
_atom_site_fract_y
_atom_site_fract_z
Pr1 0.000 0.670 0.170
Pr2 0.000 0.330 0.830
Pr3 0.000 0.170 0.330
Pr4 0.000 0.830 0.670
Cd1 0.000 0.000 0.000
Cd2 0.000 0.500 0.500
In1 0.000 0.130 0.630
In2 0.000 0.870 0.370
In3 0.000 0.630 0.870
In4 0.000 0.370 0.130
Pt1 0.500 0.201 0.036
Pt2 0.500 0.799 0.964
Pt3 0.500 0.036 0.799
Pt4 0.500 0.701 0.464
Pt5 0.500 0.964 0.201
Pt6 0.500 0.299 0.536
Pt7 0.500 0.536 0.701
Pt8 0.500 0.464 0.299
Pt9 0.500 0.500 0.000
Pt10 0.500 0.000 0.500

***

[4]
# FeRe2Se (PBE, optimized geometry)
# Formation energy (no corrections), meV/atom: 273
# N(E_F), states/eV/f.u.: 3.096
# Space group: P4mm (99)
data_FeRe2Se
_chemical_formula_sum 'Fe1 Re2 Se1'
_cell_length_a 2.948
_cell_length_b 2.948
_cell_length_c 6.581
_cell_angle_alpha 90.00
_cell_angle_beta 90.00
_cell_angle_gamma 90.00
_symmetry_space_group_name_H-M 'P 1'
_symmetry_Int_Tables_number 1
loop_
_symmetry_equiv_pos_as_xyz
'x,y,z'
loop_
_atom_site_label
_atom_site_fract_x
_atom_site_fract_y
_atom_site_fract_z
Fe1 0.500 0.500 0.734
Re1 0.000 0.000 0.996
Re2 0.500 0.500 0.249
Se1 0.000 0.000 0.521

***

[5]
# Ac4Mg2Co (PBE, optimized geometry)
# ΔE_f, eV per atom: 0.08
# N(E_F), states/eV/f.u.: 10.272
# Space group: I4/mmm (139)
data_Ac4Mg2Co
_chemical_formula_sum 'Ac4 Mg2 Co1'
_cell_length_a 5.512
_cell_length_b 5.512
_cell_length_c 9.592
_cell_angle_alpha 106.70
_cell_angle_beta 106.70
_cell_angle_gamma 90.00
_symmetry_space_group_name_H-M 'P 1'
_symmetry_Int_Tables_number 1
loop_
_symmetry_equiv_pos_as_xyz
'x,y,z'
loop_
_atom_site_label
_atom_site_fract_x
_atom_site_fract_y
_atom_site_fract_z
Ac1 0.831 0.831 0.661
Ac2 0.169 0.169 0.339
Ac3 0.000 0.500 0.000
Ac4 0.500 0.000 0.000
Co1 0.000 0.000 0.000
Mg1 0.633 0.633 0.267
Mg2 0.367 0.367 0.733

***

[6]
# KLiCd2Pd (PBE, optimized geometry)
# ΔE_f, eV per atom: -0.19
# N(E_F), states/eV/f.u.: 2.005
# Space group: P4/mmm (123)
data_KLiCd2Pd
_chemical_formula_sum 'K1 Li1 Cd2 Pd1'
_cell_length_a 5.328
_cell_length_b 5.328
_cell_length_c 4.935
_cell_angle_alpha 90.00
_cell_angle_beta 90.00
_cell_angle_gamma 90.00
_symmetry_space_group_name_H-M 'P 1'
_symmetry_Int_Tables_number 1
loop_
_symmetry_equiv_pos_as_xyz
'x,y,z'
loop_
_atom_site_label
_atom_site_fract_x
_atom_site_fract_y
_atom_site_fract_z
K1 0.500 0.500 0.500
Li1 0.000 0.000 0.500
Pd1 0.000 0.000 0.000
Cd1 0.000 0.500 0.000
Cd2 0.500 0.000 0.000

***

[7]
# PmHoCdIn (PBE, optimized geometry)
# ΔE_f, eV per atom: -0.41
# N(E_F), states/eV/f.u.: 4.059
# Space group: F-43m (216)
data_PmHoCdIn
_chemical_formula_sum 'Pm1 Ho1 Cd1 In1'
_cell_length_a 5.359
_cell_length_b 5.359
_cell_length_c 5.359
_cell_angle_alpha 60.00
_cell_angle_beta 60.00
_cell_angle_gamma 60.00
_symmetry_space_group_name_H-M 'P 1'
_symmetry_Int_Tables_number 1
loop_
_symmetry_equiv_pos_as_xyz
'x,y,z'
loop_
_atom_site_label
_atom_site_fract_x
_atom_site_fract_y
_atom_site_fract_z
Cd1 0.750 0.750 0.750
In1 0.250 0.250 0.250
Ho1 0.500 0.500 0.500
Pm1 0.000 0.000 0.000

***

[8]
# Fe2IrCl (PBE, optimized geometry)
# Formation energy (no corrections), meV/atom: 316
# Offset from the most stable computed form, meV per atom: 187.8
# N(E_F), states/eV/f.u.: 4.835
# Space group: P4mm (99)
data_Fe2IrCl
_chemical_formula_sum 'Fe2 Ir1 Cl1'
_cell_length_a 2.971
_cell_length_b 2.971
_cell_length_c 7.239
_cell_angle_alpha 90.00
_cell_angle_beta 90.00
_cell_angle_gamma 90.00
_symmetry_space_group_name_H-M 'P 1'
_symmetry_Int_Tables_number 1
loop_
_symmetry_equiv_pos_as_xyz
'x,y,z'
loop_
_atom_site_label
_atom_site_fract_x
_atom_site_fract_y
_atom_site_fract_z
Ir1 0.000 0.000 0.418
Fe1 0.000 0.000 0.024
Fe2 0.500 0.500 0.235
Cl1 0.500 0.500 0.823

***

[9]
# TlAg2Au (PBE, optimized geometry)
# ΔE_f, eV per atom: 0.06
# Offset from the most stable computed form, meV per atom: 4.3
# N(E_F), states/eV/f.u.: 1.143
# Space group: Immm (71)
data_TlAg2Au
_chemical_formula_sum 'Tl1 Ag2 Au1'
_cell_length_a 5.385
_cell_length_b 5.385
_cell_length_c 5.385
_cell_angle_alpha 132.69
_cell_angle_beta 134.81
_cell_angle_gamma 67.49
_symmetry_space_group_name_H-M 'P 1'
_symmetry_Int_Tables_number 1
loop_
_symmetry_equiv_pos_as_xyz
'x,y,z'
loop_
_atom_site_label
_atom_site_fract_x
_atom_site_fract_y
_atom_site_fract_z
Tl1 0.250 0.750 0.500
Au1 0.750 0.250 0.500
Ag1 0.002 0.002 0.000
Ag2 0.498 0.498 0.000

***

[10]
# PmScSi2Pd5 (PBE, optimized geometry)
# Formation energy (no corrections), meV/atom: -837
# N(E_F), states/eV/f.u.: 3.707
# Space group: P4/mmm (123)
data_PmScSi2Pd5
_chemical_formula_sum 'Pm1 Sc1 Si2 Pd5'
_cell_length_a 4.148
_cell_length_b 4.148
_cell_length_c 9.037
_cell_angle_alpha 90.00
_cell_angle_beta 90.00
_cell_angle_gamma 90.00
_symmetry_space_group_name_H-M 'P 1'
_symmetry_Int_Tables_number 1
loop_
_symmetry_equiv_pos_as_xyz
'x,y,z'
loop_
_atom_site_label
_atom_site_fract_x
_atom_site_fract_y
_atom_site_fract_z
Pm1 0.000 0.000 0.500
Sc1 0.000 0.000 0.000
Si1 0.500 0.500 0.127
Si2 0.500 0.500 0.873
Pd1 0.000 0.500 0.260
Pd2 0.500 0.000 0.260
Pd3 0.000 0.500 0.740
Pd4 0.500 0.000 0.740
Pd5 0.500 0.500 0.500

***

[11]
# SrInPb2 (PBE, optimized geometry)
# ΔE_f, eV per atom: -0.25
# N(E_F), states/eV/f.u.: 2.112
# Space group: Cm (8)
data_SrInPb2
_chemical_formula_sum 'Sr1 In1 Pb2'
_cell_length_a 6.063
_cell_length_b 6.063
_cell_length_c 5.770
_cell_angle_alpha 74.97
_cell_angle_beta 74.97
_cell_angle_gamma 39.02
_symmetry_space_group_name_H-M 'P 1'
_symmetry_Int_Tables_number 1
loop_
_symmetry_equiv_pos_as_xyz
'x,y,z'
loop_
_atom_site_label
_atom_site_fract_x
_atom_site_fract_y
_atom_site_fract_z
In1 0.260 0.260 0.218
Pb1 0.996 0.996 0.008
Pb2 0.740 0.740 0.775
Sr1 0.504 0.504 0.499

***

[12]
# NaGd2Sc (PBE, optimized geometry)
# ΔE_f, eV per atom: 0.13
# Offset from the most stable computed form, meV per atom: 0.0
# N(E_F), states/eV/f.u.: 5.445
# Space group: P4/mmm (123)
data_NaGd2Sc
_chemical_formula_sum 'Na1 Gd2 Sc1'
_cell_length_a 3.496
_cell_length_b 3.496
_cell_length_c 10.285
_cell_angle_alpha 90.00
_cell_angle_beta 90.00
_cell_angle_gamma 90.00
_symmetry_space_group_name_H-M 'P 1'
_symmetry_Int_Tables_number 1
loop_
_symmetry_equiv_pos_as_xyz
'x,y,z'
loop_
_atom_site_label
_atom_site_fract_x
_atom_site_fract_y
_atom_site_fract_z
Sc1 0.500 0.500 0.000
Na1 0.500 0.500 0.500
Gd1 0.000 0.000 0.779
Gd2 0.000 0.000 0.221

***

[13]
# MgTlGe (PBE, optimized geometry)
# ΔE_f, eV per atom: 0.00
# Offset from the most stable computed form, meV per atom: 11.6
# N(E_F), states/eV/f.u.: 1.255
# Space group: Cm (8)
data_MgTlGe
_chemical_formula_sum 'Mg4 Tl4 Ge4'
_cell_length_a 3.853
_cell_length_b 4.123
_cell_length_c 18.496
_cell_angle_alpha 90.00
_cell_angle_beta 90.02
_cell_angle_gamma 90.00
_symmetry_space_group_name_H-M 'P 1'
_symmetry_Int_Tables_number 1
loop_
_symmetry_equiv_pos_as_xyz
'x,y,z'
loop_
_atom_site_label
_atom_site_fract_x
_atom_site_fract_y
_atom_site_fract_z
Mg1 0.564 0.000 0.231
Mg2 0.564 0.500 0.731
Mg3 0.063 0.000 0.088
Mg4 0.063 0.500 0.588
Ge1 0.563 0.000 0.608
Ge2 0.563 0.500 0.108
Ge3 0.064 0.000 0.712
Ge4 0.064 0.500 0.212
Tl1 0.561 0.000 0.862
Tl2 0.561 0.500 0.362
Tl3 0.061 0.000 0.458
Tl4 0.061 0.500 0.958

***

[14]
# Pr2Y6Er3Tm (PBE, optimized geometry)
# ΔE_f, eV per atom: 0.02
# N(E_F), states/eV/f.u.: 17.167
# Space group: C2/m (12)
data_Pr2Y6Er3Tm
_chemical_formula_sum 'Pr2 Y6 Er3 Tm1'
_cell_length_a 6.186
_cell_length_b 6.186
_cell_length_c 11.836
_cell_angle_alpha 94.98
_cell_angle_beta 94.98
_cell_angle_gamma 119.96
_symmetry_space_group_name_H-M 'P 1'
_symmetry_Int_Tables_number 1
loop_
_symmetry_equiv_pos_as_xyz
'x,y,z'
loop_
_atom_site_label
_atom_site_fract_x
_atom_site_fract_y
_atom_site_fract_z
Pr1 0.333 0.667 0.000
Pr2 0.667 0.333 0.000
Y1 0.915 0.583 0.747
Y2 0.753 0.753 0.254
Y3 0.085 0.417 0.253
Y4 0.583 0.915 0.747
Y5 0.247 0.247 0.746
Y6 0.417 0.085 0.253
Er1 0.166 0.834 0.500
Er2 0.834 0.166 0.500
Er3 0.500 0.500 0.500
Tm1 0.000 0.000 0.000

***

[15]
# GaGeI (PBE, optimized geometry)
# Formation energy (no corrections), meV/atom: -22
# Offset from the most stable computed form, meV per atom: 224.8
# N(E_F), states/eV/f.u.: 0.657
# Space group: P1 (1)
data_GaGeI
_chemical_formula_sum 'Ga2 Ge2 I2'
_cell_length_a 4.197
_cell_length_b 4.889
_cell_length_c 8.844
_cell_angle_alpha 90.88
_cell_angle_beta 103.48
_cell_angle_gamma 90.08
_symmetry_space_group_name_H-M 'P 1'
_symmetry_Int_Tables_number 1
loop_
_symmetry_equiv_pos_as_xyz
'x,y,z'
loop_
_atom_site_label
_atom_site_fract_x
_atom_site_fract_y
_atom_site_fract_z
Ga1 0.820 0.723 0.511
Ga2 0.477 0.176 0.834
Ge1 0.338 0.034 0.547
Ge2 0.257 0.464 0.379
I1 0.628 0.078 0.141
I2 0.985 0.575 0.849

***

[16]
# GaReOF2 (PBE, optimized geometry)
# Formation energy (no corrections), meV/atom: -398
# Offset from the most stable computed form, meV per atom: 623.7
# N(E_F), states/eV/f.u.: 1.855
# Space group: P4/mmm (123)
data_GaReOF2
_chemical_formula_sum 'Ga1 Re1 O1 F2'
_cell_length_a 4.382
_cell_length_b 4.382
_cell_length_c 3.546
_cell_angle_alpha 90.00
_cell_angle_beta 90.00
_cell_angle_gamma 90.00
_symmetry_space_group_name_H-M 'P 1'
_symmetry_Int_Tables_number 1
loop_
_symmetry_equiv_pos_as_xyz
'x,y,z'
loop_
_atom_site_label
_atom_site_fract_x
_atom_site_fract_y
_atom_site_fract_z
Re1 0.500 0.500 0.500
O1 0.000 0.000 0.500
Ga1 0.000 0.000 0.000
F1 0.000 0.500 0.000
F2 0.500 0.000 0.000

***

[17]
# Pm3Pr8Er (PBE, optimized geometry)
# ΔE_f, eV per atom: 0.11
# N(E_F), states/eV/f.u.: 18.254
# Space group: C2 (5)
data_Pm3Pr8Er
_chemical_formula_sum 'Pm3 Pr8 Er1'
_cell_length_a 9.159
_cell_length_b 9.159
_cell_length_c 9.161
_cell_angle_alpha 74.39
_cell_angle_beta 138.49
_cell_angle_gamma 121.34
_symmetry_space_group_name_H-M 'P 1'
_symmetry_Int_Tables_number 1
loop_
_symmetry_equiv_pos_as_xyz
'x,y,z'
loop_
_atom_site_label
_atom_site_fract_x
_atom_site_fract_y
_atom_site_fract_z
Pm1 0.543 0.654 0.139
Pm2 0.515 0.404 0.861
Pm3 0.969 0.469 0.500
Pr1 0.410 0.100 0.171
Pr2 0.314 0.676 0.389
Pr3 0.288 0.926 0.611
Pr4 0.929 0.239 0.829
Pr5 0.433 0.340 0.435
Pr6 0.820 0.168 0.147
Pr7 0.021 0.673 0.853
Pr8 0.905 0.998 0.565
Er1 0.854 0.854 0.000

***

[18]
# InHPd3 (PBE, optimized geometry)
# Offset from the most stable computed form, meV per atom: 219.8
# N(E_F), states/eV/f.u.: 2.187
# Space group: R-3 (148)
data_InHPd3
_chemical_formula_sum 'In2 H2 Pd6'
_cell_length_a 7.288
_cell_length_b 7.288
_cell_length_c 7.288
_cell_angle_alpha 40.70
_cell_angle_beta 40.70
_cell_angle_gamma 40.70
_symmetry_space_group_name_H-M 'P 1'
_symmetry_Int_Tables_number 1
loop_
_symmetry_equiv_pos_as_xyz
'x,y,z'
loop_
_atom_site_label
_atom_site_fract_x
_atom_site_fract_y
_atom_site_fract_z
H1 0.081 0.081 0.081
H2 0.919 0.919 0.919
Pd1 0.446 0.108 0.773
Pd2 0.108 0.773 0.446
Pd3 0.227 0.554 0.892
Pd4 0.892 0.227 0.554
Pd5 0.554 0.892 0.227
Pd6 0.773 0.446 0.108
In1 0.334 0.334 0.334
In2 0.666 0.666 0.666

***

[19]
# TmMgInIr (PBE, optimized geometry)
# ΔE_f, eV per atom: -0.41
# N(E_F), states/eV/f.u.: 2.229
# Space group: F-43m (216)
data_TmMgInIr
_chemical_formula_sum 'Tm1 Mg1 In1 Ir1'
_cell_length_a 4.837
_cell_length_b 4.837
_cell_length_c 4.837
_cell_angle_alpha 60.00
_cell_angle_beta 60.00
_cell_angle_gamma 60.00
_symmetry_space_group_name_H-M 'P 1'
_symmetry_Int_Tables_number 1
loop_
_symmetry_equiv_pos_as_xyz
'x,y,z'
loop_
_atom_site_label
_atom_site_fract_x
_atom_site_fract_y
_atom_site_fract_z
Mg1 0.250 0.250 0.250
Ir1 0.000 0.000 0.000
Tm1 0.750 0.750 0.750
In1 0.500 0.500 0.500

***

[20]
# LuThZrCd (PBE, optimized geometry)
# ΔE_f, eV per atom: 0.06
# N(E_F), states/eV/f.u.: 6.394
# Space group: F-43m (216)
data_LuThZrCd
_chemical_formula_sum 'Lu1 Th1 Zr1 Cd1'
_cell_length_a 5.310
_cell_length_b 5.310
_cell_length_c 5.310
_cell_angle_alpha 60.00
_cell_angle_beta 60.00
_cell_angle_gamma 60.00
_symmetry_space_group_name_H-M 'P 1'
_symmetry_Int_Tables_number 1
loop_
_symmetry_equiv_pos_as_xyz
'x,y,z'
loop_
_atom_site_label
_atom_site_fract_x
_atom_site_fract_y
_atom_site_fract_z
Lu1 0.500 0.500 0.500
Zr1 0.250 0.250 0.250
Th1 0.000 0.000 0.000
Cd1 0.750 0.750 0.750